## A
Density functional theory data (PBE-GGA) for an optimized crystal structure of Re3RhSe.

Unit cell a=4.4888 b=4.4888 c=4.4888 alpha=90.00 beta=90.00 gamma=90.00
Last column: nearest neighbours and their distance in Å.
Fractional positions:
Re1 0.0000 0.5000 0.0000  2 Se 2.24
Re2 0.0000 0.0000 0.5000  2 Se 2.24
Re3 0.5000 0.0000 0.0000  2 Se 2.24
Rh1 0.5000 0.5000 0.5000  12 Re 3.17
Se1 0.0000 0.0000 0.0000  6 Re 2.24

Output
theoretical density	13595	kg/m³

***

## B
Density functional theory data (PBE-GGA) for an optimized crystal structure of Re3RhSe.

Unit cell a=4.7010 b=4.7010 c=4.7010 alpha=90.00 beta=90.00 gamma=90.00
Last column: nearest neighbours and their distance in Å.
Fractional positions:
Re1 0.0000 0.5000 0.0000  2 Rh 2.35
Re2 0.0000 0.0000 0.5000  2 Rh 2.35
Re3 0.5000 0.0000 0.0000  2 Rh 2.35
Rh1 0.0000 0.0000 0.0000  6 Re 2.35
Se1 0.5000 0.5000 0.5000  12 Re 3.32

Output
theoretical density	11836	kg/m³

***

Most stable structure: A

***

## A
Density functional theory data (PBE-GGA) for an optimized crystal structure of ReSiRh.

Unit cell a=2.7863 b=2.7863 c=6.2058 alpha=90.00 beta=90.00 gamma=120.00
Last column: nearest neighbours and their distance in Å.
Fractional positions:
Rh1 0.6667 0.3333 0.3526  3 Si 2.49, 3 Re 2.77, 6 Rh 2.79
Si1 0.3333 0.6667 0.6585  3 Rh 2.49, 3 Re 2.61, 6 Si 2.79
Re1 0.0000 0.0000 0.9889  3 Si 2.61, 3 Rh 2.77, 6 Re 2.79

Output
theoretical density	12624	kg/m³

***

## B
Density functional theory data (PBE-GGA) for an optimized crystal structure of ReSiRh.

Unit cell a=4.5909 b=4.5909 c=4.5909 alpha=145.15 beta=130.17 gamma=62.24
Last column: nearest neighbours and their distance in Å.
Fractional positions:
Si1 0.6661 0.6661 0.0000  5 Rh 2.61-2.72, 5 Re 2.62-2.71, 2 Si 2.75
Re1 0.9993 0.9993 0.0000  5 Si 2.62-2.71, 5 Rh 2.64-2.70, 2 Re 2.75
Rh1 0.3346 0.3346 0.0000  5 Si 2.61-2.72, 5 Re 2.64-2.70, 2 Rh 2.75

Output
theoretical density	12603	kg/m³

***

Most stable structure: A

***

## A
Density functional theory data (PBE-GGA) for an optimized crystal structure of ReSiRh3.

Unit cell a=4.6936 b=4.6936 c=4.6936 alpha=90.00 beta=90.00 gamma=90.00
Last column: nearest neighbours and their distance in Å.
Fractional positions:
Si1 0.5000 0.5000 0.5000  12 Rh 3.32
Re1 0.0000 0.0000 0.0000  6 Rh 2.35
Rh1 0.0000 0.0000 0.5000  2 Re 2.35
Rh2 0.5000 0.0000 0.0000  2 Re 2.35
Rh3 0.0000 0.5000 0.0000  2 Re 2.35

Output
theoretical density	8399	kg/m³

***

## B
Density functional theory data (PBE-GGA) for an optimized crystal structure of ReSiRh3.

Unit cell a=4.3595 b=4.3595 c=4.3595 alpha=90.00 beta=90.00 gamma=90.00
Last column: nearest neighbours and their distance in Å.
Fractional positions:
Si1 0.0000 0.0000 0.0000  6 Rh 2.18
Re1 0.5000 0.5000 0.5000  12 Rh 3.08
Rh1 0.0000 0.5000 0.0000  2 Si 2.18
Rh2 0.5000 0.0000 0.0000  2 Si 2.18
Rh3 0.0000 0.0000 0.5000  2 Si 2.18

Output
theoretical density	10482	kg/m³

***

Most stable structure: B

***

## A
Density functional theory data (PBE-GGA) for an optimized crystal structure of ReSn3Rh.

Unit cell a=5.1211 b=5.1211 c=5.1211 alpha=90.00 beta=90.00 gamma=90.00
Last column: nearest neighbours and their distance in Å.
Fractional positions:
Rh1 0.5000 0.5000 0.5000  12 Sn 3.62
Sn1 0.5000 0.0000 0.0000  2 Re 2.56
Sn2 0.0000 0.5000 0.0000  2 Re 2.56
Sn3 0.0000 0.0000 0.5000  2 Re 2.56
Re1 0.0000 0.0000 0.0000  6 Sn 2.56

Output
theoretical density	7978	kg/m³

***

## B
Density functional theory data (PBE-GGA) for an optimized crystal structure of ReSn3Rh.

Unit cell a=5.0448 b=5.0448 c=5.0448 alpha=90.00 beta=90.00 gamma=90.00
Last column: nearest neighbours and their distance in Å.
Fractional positions:
Re1 0.5000 0.5000 0.5000  12 Sn 3.57
Sn1 0.0000 0.0000 0.5000  2 Rh 2.52
Sn2 0.5000 0.0000 0.0000  2 Rh 2.52
Sn3 0.0000 0.5000 0.0000  2 Rh 2.52
Rh1 0.0000 0.0000 0.0000  6 Sn 2.52

Output
theoretical density	8345	kg/m³

***

Most stable structure: A

***

## A
Density functional theory data (PBE-GGA) for an optimized crystal structure of SrReRh.

Unit cell a=4.8396 b=4.8396 c=2.8653 alpha=90.00 beta=90.00 gamma=120.00
Last column: nearest neighbours and their distance in Å.
Fractional positions:
Rh1 0.6667 0.3333 0.1669  3 Re 2.79, 2 Rh 2.87
Sr1 0.3333 0.6667 0.6669  2 Sr 2.87, 6 Re 3.14, 6 Rh 3.14
Re1 0.0000 0.0000 0.1662  3 Rh 2.79, 2 Re 2.87

Output
theoretical density	10764	kg/m³

***

## B
Density functional theory data (PBE-GGA) for an optimized crystal structure of SrReRh.

Unit cell a=5.9083 b=5.0998 c=7.9315 alpha=90.00 beta=90.00 gamma=90.00
Last column: nearest neighbours and their distance in Å.
Fractional positions:
Rh1 0.2500 0.7500 0.7500  4 Re 2.78, 2 Rh 2.95, 4 Sr 3.11
Sr1 0.5000 0.2500 0.8757  6 Rh 3.11-3.32, 2 Sr 3.22, 6 Re 3.24-3.37
Sr2 0.0000 0.2500 0.6243  6 Rh 3.11-3.32, 2 Sr 3.22, 6 Re 3.24-3.37
Rh2 0.7500 0.2500 0.2500  4 Re 2.78, 2 Rh 2.95, 4 Sr 3.11
Re1 0.5000 0.5000 0.5000  2 Re 2.55, 4 Rh 2.78
Sr3 0.5000 0.7500 0.1243  6 Rh 3.11-3.32, 2 Sr 3.22, 6 Re 3.24-3.37
Re2 0.0000 0.5000 0.0000  2 Re 2.55, 4 Rh 2.78
Rh3 0.2500 0.2500 0.2500  4 Re 2.78, 2 Rh 2.95, 4 Sr 3.11
Re3 0.5000 0.0000 0.5000  2 Re 2.55, 4 Rh 2.78
Sr4 0.0000 0.7500 0.3757  6 Rh 3.11-3.32, 2 Sr 3.22, 6 Re 3.24-3.37
Rh4 0.7500 0.7500 0.7500  4 Re 2.78, 2 Rh 2.95, 4 Sr 3.11
Re4 0.0000 0.0000 0.0000  2 Re 2.55, 4 Rh 2.78

Output
theoretical density	10471	kg/m³

***

Most stable structure: B

***

## A
Density functional theory data (PBE-GGA) for an optimized crystal structure of SrReRh.

Unit cell a=10.2668 b=4.2830 c=4.2835 alpha=60.04 beta=90.55 gamma=90.45
Last column: nearest neighbours and their distance in Å.
Fractional positions:
Sr1 0.9705 0.5787 0.9242  3 Rh 3.06, 1 Re 3.22
Re1 0.2840 0.5814 0.9294  3 Re 2.48
Re2 0.2701 0.9147 0.2626  3 Re 2.48
Rh1 0.4084 0.2493 0.5984  1 Rh 2.70, 6 Re 2.78-2.85
Rh2 0.1458 0.2468 0.5936  1 Rh 2.70, 6 Re 2.78-2.85
Sr2 0.5836 0.9174 0.2677  3 Rh 3.06, 1 Re 3.22

Output
theoretical density	7667	kg/m³

***

## B
Density functional theory data (PBE-GGA) for an optimized crystal structure of SrReRh.

Unit cell a=5.3218 b=4.4969 c=10.6455 alpha=90.00 beta=90.00 gamma=90.00
Last column: nearest neighbours and their distance in Å.
Fractional positions:
Sr1 0.5889 0.7500 0.8761  2 Rh 2.73-2.78
Re1 0.5773 0.2500 0.6809  3 Rh 2.60-2.68
Sr2 0.9111 0.2500 0.3761  2 Rh 2.73-2.78
Rh1 0.5846 0.7500 0.5576  3 Re 2.60-2.68, 2 Rh 2.71, 2 Sr 2.73-2.78
Rh2 0.9154 0.2500 0.0576  3 Re 2.60-2.68, 2 Rh 2.71, 2 Sr 2.73-2.78
Re2 0.0773 0.2500 0.8191  3 Rh 2.60-2.68
Rh3 0.4154 0.2500 0.4424  3 Re 2.60-2.68, 2 Rh 2.71, 2 Sr 2.73-2.78
Re3 0.9227 0.7500 0.1809  3 Rh 2.60-2.68
Re4 0.4227 0.7500 0.3191  3 Rh 2.60-2.68
Rh4 0.0846 0.7500 0.9424  3 Re 2.60-2.68, 2 Rh 2.71, 2 Sr 2.73-2.78
Sr3 0.0889 0.7500 0.6239  2 Rh 2.73-2.78
Sr4 0.4111 0.2500 0.1239  2 Rh 2.73-2.78

Output
theoretical density	9822	kg/m³

***

Most stable structure: A